1.
VASP calculation (PBEsol) on a relaxed HoAl10Fe2 crystal.

Cell lengths 8.849, 10.051, 8.877 Å; angles 90.00, 90.00, 90.00 degrees
Space group Cmcm (No. 63)
One atom of each set of equivalent atoms:
Ho (0.000, 0.126, 0.250) (multiplicity 4)
Al (0.000, 0.158, 0.597) (multiplicity 8)
Al (0.000, 0.374, 0.050) (multiplicity 8)
Al (0.152, 0.371, 0.750) (multiplicity 8)
Al (0.225, 0.359, 0.250) (multiplicity 8)
Al (0.227, 0.000, 0.000) (multiplicity 8)
Fe (0.250, 0.250, 0.000) (multiplicity 8)

Computed properties:
ΔH_f (0 K) = -0.36 eV/atom
calculated volume = 15.183 A^3/atom



2.
VASP calculation (PBEsol) on a relaxed HoAl6Fe6 crystal.

Cell lengths 4.916, 8.380, 8.514 Å; angles 90.00, 90.00, 90.00 degrees
Space group Immm (No. 71)
One atom of each set of equivalent atoms:
Ho (0.000, 0.000, 0.000) (multiplicity 2)
Al (0.000, 0.000, 0.346) (multiplicity 4)
Al (0.000, 0.337, 0.000) (multiplicity 4)
Al (0.000, 0.500, 0.310) (multiplicity 4)
Fe (0.000, 0.260, 0.500) (multiplicity 4)
Fe (0.250, 0.250, 0.250) (multiplicity 8)

Computed properties:
ΔH_f (0 K) = -0.38 eV/atom
calculated volume = 13.490 A^3/atom



3.
VASP calculation (PBEsol) on a relaxed AlFeI2N crystal.

Cell lengths 5.349, 5.349, 3.488 Å; angles 90.00, 90.00, 90.00 degrees
Space group P4/mmm (No. 123)
One atom of each set of equivalent atoms:
Al (0.000, 0.000, 0.000) (multiplicity 1)
Fe (0.500, 0.500, 0.500) (multiplicity 1)
I (0.000, 0.500, 0.500) (multiplicity 2)
N (0.500, 0.500, 0.000) (multiplicity 1)

Computed properties:
uncorrected formation energy = 274 meV per atom
calculated volume = 19.956 A^3/atom